Entry 1:
MgRe2Pt: PBEsol geometry, meta-GGA SCAN.

The formation energy is 0.02 eV/atom. The total energy comes out at -54.32 eV per atom.

It has space group I-4m2 (No. 119), with a = 4.038 Å, b = 4.038 Å, c = 7.312 Å, α = 90.00°, β = 90.00° and γ = 90.00°. Symmetry generates all atoms from Mg at (0.000, 0.000, 0.000), Re at (0.000, 0.000, 0.500), Re at (0.000, 0.500, 0.750) and Pt at (0.000, 0.500, 0.250).

Entry 2:
TaAgTe2: PBEsol geometry, meta-GGA SCAN.

The total energy comes out at -42.89 eV per atom.

It has space group I-42d (No. 122), with a = 6.281 Å, b = 6.281 Å, c = 12.492 Å, α = 90.00°, β = 90.00° and γ = 90.00°. Symmetry generates all atoms from Ta at (0.000, 0.000, 0.000), Ag at (0.000, 0.000, 0.500) and Te at (0.242, 0.250, 0.125).

Entry 3:
Tm3InS6: PBEsol geometry, meta-GGA SCAN.

The total energy comes out at -26.57 eV per atom.

It has space group P2_12_12 (No. 18), with a = 13.135 Å, b = 16.213 Å, c = 3.750 Å, α = 90.00°, β = 90.00° and γ = 90.00°. Symmetry generates all atoms from Tm at (0.039, 0.225, 0.250), Tm at (0.189, 0.646, 0.250), Tm at (0.250, 0.393, 0.250), In at (0.000, 0.000, 0.752), In at (0.000, 0.500, 0.750), S at (0.022, 0.394, 0.250), S at (0.097, 0.910, 0.251), S at (0.112, 0.120, 0.750), S at (0.114, 0.746, 0.750), S at (0.182, 0.286, 0.750) and S at (0.196, 0.521, 0.750).

Entry 4:
Hf2MnOsRu: PBEsol geometry, meta-GGA SCAN.

The formation energy is 0.90 eV/atom. The total energy comes out at -49.17 eV per atom.

It has space group P4/mmm (No. 123), with a = 4.831 Å, b = 4.831 Å, c = 4.171 Å, α = 90.00°, β = 90.00° and γ = 90.00°. Symmetry generates all atoms from Hf at (0.000, 0.500, 0.000), Mn at (0.000, 0.000, 0.500), Os at (0.500, 0.500, 0.500) and Ru at (0.000, 0.000, 0.000).

Entry 5:
AgSe3F: PBEsol geometry, meta-GGA SCAN.

The total energy comes out at -18.55 eV per atom.

It has space group Pm-3m (No. 221), with a = 4.593 Å, b = 4.593 Å, c = 4.593 Å, α = 90.00°, β = 90.00° and γ = 90.00°. Symmetry generates all atoms from Ag at (0.000, 0.000, 0.000), Se at (0.000, 0.500, 0.500) and F at (0.500, 0.500, 0.500).

Entry 6:
Ca2ZnN: PBEsol geometry, meta-GGA SCAN.

The total energy comes out at -10.43 eV per atom.

It has space group Fm-3m (No. 225), with a = 6.661 Å, b = 6.661 Å, c = 6.661 Å, α = 90.00°, β = 90.00° and γ = 90.00°. Symmetry generates all atoms from Ca at (0.250, 0.250, 0.250), Zn at (0.000, 0.000, 0.000) and N at (0.000, 0.000, 0.500).